Record 1
{
  "formula": "Ti2Zn3Ag",
  "functional": "PBE",
  "state": "relaxed",
  "lattice": [[2.851, 0.000, 0.000], [0.000, 2.851, 0.000], [0.000, 0.000, 11.662]],
  "species": ["Ti", "Ti", "Zn", "Zn", "Zn", "Ag"],
  "fractional_positions": [[0.000, 0.000, 0.165], [0.000, 0.000, 0.835], [0.500, 0.500, 0.000], [0.500, 0.500, 0.332], [0.500, 0.500, 0.668], [0.000, 0.000, 0.500]],
  "m_tot_mub_per_cell": 1.3,
  "dos_at_fermi_per_ev_cell": 3.3,
  "ef_kj_per_mol_atoms": -14,
  "final_energy_ev_per_atom": -3.888
}

Record 2
{
  "formula": "Rb2CS5",
  "functional": "PBE",
  "state": "relaxed",
  "lattice": [[11.928, 0.000, 0.000], [0.000, 7.025, 0.000], [-1.543, 0.000, 6.377]],
  "species": ["Rb", "Rb", "Rb", "Rb", "C", "C", "S", "S", "S", "S", "S", "S", "S", "S", "S", "S"],
  "fractional_positions": [[0.000, 0.000, 0.000], [0.123, 0.500, 0.491], [0.500, 0.500, 0.000], [0.623, 0.000, 0.491], [0.171, 0.500, 0.017], [0.671, 0.000, 0.017], [0.024, 0.500, 0.940], [0.248, 0.292, 0.060], [0.248, 0.708, 0.060], [0.392, 0.359, 0.439], [0.392, 0.641, 0.439], [0.524, 0.000, 0.940], [0.748, 0.208, 0.060], [0.748, 0.792, 0.060], [0.892, 0.141, 0.439], [0.892, 0.859, 0.439]],
  "m_tot_mub_per_cell": 0.0,
  "e_form_raw_ev_per_fu": -2.871,
  "final_energy_ev_per_atom": -4.333
}